(1)
Here is a geometry-optimized CdGa4Bi structure from Alexandria via LeMat-Bulk. Energies are from PBE-GGA.

```
CdGa4Bi
1.0
-2.5395 4.4303 2.6788
-5.7192 0.0290 0.7369
-2.2319 -0.7124 5.2692
Cd Ga Bi
1 4 1
direct
0.2500 0.2500 0.2500
0.6248 0.6248 0.6248
0.6248 0.1257 0.6248
0.6248 0.6248 0.1257
0.1257 0.6248 0.6248
0.0000 0.0000 0.0000
```

Values from the calculation:
**Formation energy**: 0.092 eV/atom
**Mass density**: 7.35 Mg/m³
**Total DFT energy (no corrections)**: -16.4 eV per formula unit

=====

(2)
Here is a geometry-optimized LaInPd structure from Alexandria via LeMat-Bulk. Energies are from PBE-GGA.

```
LaInPd
1.0
-1.4533 -0.6744 -3.8076
-6.8497 -2.4297 3.0447
-4.7402 12.7913 -0.4565
La Pd In
6 6 6
direct
0.0000 0.7616 0.4558
0.0000 0.2384 0.5442
0.0000 0.7616 0.0442
0.0000 0.8616 0.7500
0.0000 0.1384 0.2500
0.0000 0.2384 0.9558
0.0000 0.5446 0.2500
0.5000 0.9402 0.5985
0.5000 0.0598 0.4015
0.5000 0.9402 0.9015
0.5000 0.0598 0.0985
0.0000 0.4554 0.7500
0.5000 0.7920 0.2500
0.5000 0.2080 0.7500
0.5000 0.5718 0.8776
0.5000 0.4282 0.3776
0.5000 0.5718 0.6224
0.5000 0.4282 0.1224
```

Values from the calculation:
**Formation energy**: -0.784 eV/atom
**Mass density**: 8.08 Mg/m³
**Total DFT energy (no corrections)**: -15.2 eV per formula unit

=====

(3)
Here is a geometry-optimized Ti3PdPt structure from Alexandria via LeMat-Bulk. Energies are from PBE-GGA.

```
Ti3PdPt
1.0
-3.5773 3.9750 -1.4038
-3.8538 -1.3042 6.6373
-0.8555 3.9791 3.2606
Ti Pd Pt
6 2 2
direct
0.6127 0.7156 0.6787
0.4198 0.5127 0.4631
0.9520 0.5061 0.9821
0.0824 0.1047 0.0111
0.7592 0.3032 0.7665
0.2895 0.9141 0.4342
0.7773 0.8935 0.9245
0.5946 0.1253 0.5208
0.1004 0.6982 0.2307
0.2715 0.3207 0.2146
```

Values from the calculation:
**Formation energy**: -0.561 eV/atom
**Mass density**: 9.23 Mg/m³
**Total DFT energy (no corrections)**: -37.7 eV per formula unit

=====

(4)
Here is a geometry-optimized GaHgCl2 structure from Alexandria via LeMat-Bulk. Energies are from PBE-GGA.

```
GaHgCl2
1.0
7.8569 0.0000 0.0000
0.0000 7.8569 0.0000
3.9285 3.9285 5.5730
Ga Cl Hg
2 4 2
direct
0.2500 0.7500 0.5000
0.5000 0.5000 0.0000
0.3750 0.6239 0.7500
0.3739 0.6250 0.2500
0.8750 0.6261 0.7500
0.3761 0.1250 0.2500
0.0000 0.0000 0.0000
0.7500 0.2500 0.5000
```

Values from the calculation:
**Mass density**: 3.29 Mg/m³
**Total DFT energy (no corrections)**: -9.5 eV per formula unit
**Energy relative to the elements, uncorrected**: -0.609 eV/atom